No. 1
A geometry-optimized BaSr5Ca8 structure. Source: Alexandria, functional PBE.

The space group is I-4 (No. 82) and the conventional cell measures 10.5467, 10.5467 and 12.9130 Å, with angles of 90.00, 90.00 and 90.00 degrees. The inequivalent atoms are Ba at (0.0000, 0.0000, 0.0000), Sr at (0.0000, 0.5000, 0.7500), Sr at (0.1417, 0.7695, 0.4446), Ca at (0.0741, 0.8432, 0.7413) and Ca at (0.0833, 0.6771, 0.1515).

The polymorph energy (0 for the lowest one) is 1.0 kJ per mole of atoms. The formation energy is 2.3 eV/f.u.

***

No. 2
A geometry-optimized Ba2Sr2Ca structure. Source: Alexandria, functional PBE.

The space group is P4/mbm (No. 127) and the conventional cell measures 11.0445, 11.0445 and 4.6243 Å, with angles of 90.00, 90.00 and 90.00 degrees. The inequivalent atoms are Ba at (0.1287, 0.3713, 0.0000), Sr at (0.1706, 0.6706, 0.5000) and Ca at (0.0000, 0.0000, 0.0000).

The polymorph energy (0 for the lowest one) is 10.0 kJ per mole of atoms. The formation energy is 0.9 eV/f.u.